Computed, not measured: a relaxed structure of TbSmHo2Te6 at the PBE level of DFT.

The structure in POSCAR format:
```
TbSmHo2Te6
1.0
7.7277 -0.0001 -0.0010
3.8637 6.6926 -0.0006
3.8624 2.2309 7.0399
Sm Te Ho Tb
1 6 2 1
direct
0.8210 0.8209 0.5372
0.2348 0.9114 0.2484
0.1116 0.4053 0.7502
0.6054 0.2348 0.2483
0.4053 0.7329 0.7502
0.9114 0.6054 0.2483
0.7329 0.1116 0.7502
0.0079 0.0079 0.9763
0.5089 0.5090 0.4731
0.3223 0.3223 0.0330
```

Calculated values
Formation energy without anion corrections = -1362 meV/atom
SG = No. 146
Total magnetic moment = 0.000 μB/atom

Computed, not measured: a relaxed structure of Ba6AgN2 at the PBE level of DFT.

The structure in POSCAR format:
```
Ba6AgN2
1.0
5.2133 0.0000 0.0000
-2.6066 7.6417 -0.3586
0.0000 -2.8135 10.0822
Ag Ba N
1 6 2
direct
0.0000 0.0000 0.5000
0.3127 0.6254 0.9527
0.3492 0.6984 0.3699
0.6508 0.3016 0.6301
0.9246 0.8492 0.7782
0.6873 0.3746 0.0473
0.0754 0.1508 0.2218
0.2208 0.4415 0.1459
0.7792 0.5585 0.8541
```

Calculated values
Formation energy without anion corrections = -271 meV/atom
SG = No. 12
Total magnetic moment = 0.000 μB/atom
DOS at the Fermi energy = 5.5 states/eV per cell

> Among the records above, which one has the highest formation energy without anion corrections?

Ba6AgN2

> Look up the formation energy without anion corrections of the first one.

-1362 meV/atom